! La2RuWO, optimized geometry, DFT PBE with a Hubbard U; values from VASP
&SYSTEM
  ibrav = 0, nat = 5, ntyp = 4
/
ATOMIC_SPECIES
O 16.00 O.upf
La 138.91 La.upf
Ru 101.07 Ru.upf
W 183.84 W.upf
CELL_PARAMETERS angstrom
-1.0406 -4.1674 -3.8584
3.5803 -1.2365 0.3699
-1.6586 -3.5286 4.2585
ATOMIC_POSITIONS crystal
O 0.0000 0.5000 0.0000
La 0.0000 0.0000 0.5000
La 0.5000 0.0000 0.0000
Ru 0.0000 0.0000 0.0000
W 0.5000 0.5000 0.5000
! total moment	3.891	Bohr magnetons per cell
! theoretical density	7.57	g/cm3
! total energy	-6.15	eV/atom
! crystal system	tetragonal